1.
Compound: CaZnRh3
Source: Alexandria
Functional: PBE-GGA
Structure: optimized geometry

Cell lengths 4.7419, 4.7419, 4.7419 Å; angles 90.00, 90.00, 90.00 degrees
With the nearest neighbours (Å) after each atom.
Atoms (fractional coordinates):
Ca  0.0000  0.0000  0.0000  6 Rh 2.37
Zn  0.5000  0.5000  0.5000  12 Rh 3.35
Rh  0.0000  0.0000  0.5000  2 Ca 2.37
Rh  0.0000  0.5000  0.0000  2 Ca 2.37
Rh  0.5000  0.0000  0.0000  2 Ca 2.37

Output
space group = Pm-3m, No. 221

---

2.
Compound: CaZn5Rh6
Source: Alexandria
Functional: PBE-GGA
Structure: optimized geometry

Cell lengths 7.5325, 7.5325, 7.5325 Å; angles 146.38, 131.16, 60.60 degrees
With the nearest neighbours (Å) after each atom.
Atoms (fractional coordinates):
Ca  0.0000  0.0000  0.0000  8 Rh 2.77-2.81, 4 Zn 3.01
Zn  0.1596  0.6596  0.5000  8 Rh 2.61-2.74
Zn  0.3299  0.3299  0.0000  8 Rh 2.60-2.63
Zn  0.5000  0.0000  0.5000  8 Rh 2.59-2.71
Zn  0.6701  0.6701  0.0000  8 Rh 2.60-2.63
Zn  0.8404  0.3404  0.5000  8 Rh 2.61-2.74
Rh  0.0894  0.8253  0.2641  7 Zn 2.60-2.74, 1 Ca 2.81
Rh  0.2745  0.5000  0.7745  6 Zn 2.59-2.69, 2 Ca 2.77, 1 Rh 2.81
Rh  0.4389  0.1747  0.2641  7 Zn 2.60-2.74, 1 Ca 2.81
Rh  0.5611  0.8253  0.7359  7 Zn 2.60-2.74, 1 Ca 2.81
Rh  0.7255  0.5000  0.2255  6 Zn 2.59-2.69, 2 Ca 2.77, 1 Rh 2.81
Rh  0.9106  0.1747  0.7359  7 Zn 2.60-2.74, 1 Ca 2.81

Output
space group = Immm, No. 71

---

Number 1: total DFT energy (no corrections) -3.6457 eV/atom. Number 2: total DFT energy (no corrections) -4.7024 eV/atom.